16
Lattice="8.092 0.000 0.000 -4.046 7.008 0.000 0.000 0.000 6.261" Properties=species:S:1:pos:R:3 comment="Y5Ru3 SCAN PBEsol geometry" n_ef_per_ev_cell=12.28 formation_energy_ev_per_fu=-3.0 relative_energy_kj_per_mol_fu=0 magnetic_moment_mub_per_fu=0.00 pbc="T T T"
Y -1.047 1.814 1.565
Y -2.999 5.194 4.696
Y 2.094 0.000 1.565
Y 1.047 1.814 4.696
Y 0.000 4.672 0.000
Y 0.000 4.672 3.131
Y 4.046 2.336 0.000
Y 4.046 2.336 3.131
Y 5.997 0.000 4.696
Y 2.999 5.194 1.565
Ru -1.595 2.762 4.696
Ru -2.451 4.246 1.565
Ru 3.189 0.000 4.696
Ru 1.595 2.762 1.565
Ru 4.903 0.000 1.565
Ru 2.451 4.246 4.696

***

5
Lattice="4.364 0.000 0.000 0.000 4.364 0.000 0.000 0.000 4.364" Properties=species:S:1:pos:R:3 comment="Hf3TiH SCAN PBEsol geometry" n_ef_per_ev_cell=6.07 magnetic_moment_mub_per_fu=0.00 pbc="T T T"
Hf 0.000 0.000 2.182
Hf 0.000 2.182 0.000
Hf 2.182 0.000 0.000
Ti 2.182 2.182 2.182
H 0.000 0.000 0.000

***

18
Lattice="-3.522 3.567 5.008 3.522 -3.567 5.008 3.522 3.567 -5.008" Properties=species:S:1:pos:R:3 comment="CsAlNiF6 SCAN PBEsol geometry" n_ef_per_ev_cell=0.00 raw_formation_energy_ev_per_atom=-3.223 magnetic_moment_mub_per_fu=2.01 pbc="T T T"
Cs 0.000 1.784 1.222
Cs 3.522 1.784 3.786
Al 1.761 1.784 -2.504
Al 1.761 -1.784 2.504
Ni 3.522 0.000 0.000
Ni 0.000 0.000 5.008
F 3.522 -1.784 2.999
F 2.053 -0.500 1.276
F 4.990 -0.500 1.276
F 2.053 3.068 -1.276
F 1.468 -0.500 3.732
F 3.522 1.784 0.828
F 0.000 1.784 4.180
F 2.053 4.067 1.276
F 1.468 0.500 6.284
F -1.468 4.067 3.732
F 1.468 4.067 3.732
F 0.000 5.351 2.009

***

4
Lattice="1.828 1.055 6.590 -1.828 1.055 6.590 0.000 -2.111 6.590" Properties=species:S:1:pos:R:3 comment="Sc2CuSe SCAN PBEsol geometry" n_ef_per_ev_cell=2.67 raw_formation_energy_ev_per_atom=-0.932 magnetic_moment_mub_per_fu=0.00 pbc="T T T"
Sc 0.000 0.000 4.925
Sc 0.000 0.000 14.845
Cu 0.000 0.000 9.885
Se 0.000 0.000 0.000

***

4
Lattice="3.059 0.000 0.000 0.000 4.112 0.000 0.000 0.000 5.412" Properties=species:S:1:pos:R:3 comment="Co2HgBr SCAN PBEsol geometry" n_ef_per_ev_cell=1.28 relative_energy_kj_per_mol_fu=99 raw_formation_energy_ev_per_atom=0.568 magnetic_moment_mub_per_fu=3.61 pbc="T T T"
Co 0.000 0.000 0.000
Co 1.529 0.000 2.706
Hg 0.000 2.056 2.706
Br 1.529 2.056 0.000

***

5
Lattice="5.297 0.000 0.000 0.000 5.297 0.000 0.000 0.000 4.982" Properties=species:S:1:pos:R:3 comment="BSbTe2Pd SCAN PBEsol geometry" n_ef_per_ev_cell=3.65 raw_formation_energy_ev_per_atom=1.208 magnetic_moment_mub_per_fu=0.00 pbc="T T T"
B 0.000 0.000 0.000
Sb 2.649 2.649 0.000
Te 0.000 2.649 2.491
Te 2.649 0.000 2.491
Pd 2.649 2.649 2.491

***

Volume for every record listed, in sequence, given in Å³ per atom: 22.2, 16.6, 14.0, 19.1, 17.0, 28.0.
Raw total energy for every record listed, in sequence, given in eV per atom: -30.84, -41.55, -12.44, -16.87, -29.99, -29.19.